The following is a PBE calculation of a relaxed structure of YIn6Hg12, from Alexandria via LeMat-Bulk.

POSCAR file:
```
YIn6Hg12
1.0
7.9584 0.4332 0.5189
-0.7784 7.9321 0.5189
-0.7784 -0.9068 7.8971
In Hg Y
6 12 1
Direct
0.8574 0.7421 0.2839
0.1426 0.2579 0.7161
0.7421 0.2839 0.8574
0.2839 0.8574 0.7421
0.7161 0.1426 0.2579
0.2579 0.7161 0.1426
0.1526 0.0483 0.3740
0.1912 0.5540 0.4841
0.5540 0.4841 0.1912
0.4460 0.5159 0.8088
0.0483 0.3740 0.1526
0.5159 0.8088 0.4460
0.6260 0.8474 0.9517
0.8088 0.4460 0.5159
0.4841 0.1912 0.5540
0.3740 0.1526 0.0483
0.8474 0.9517 0.6260
0.9517 0.6260 0.8474
0.0000 0.0000 0.0000
```

Calculated formation energy (eV/atom): -0.039
Energy above the most stable polymorph in this dataset (meV per atom): 9
Fermi-level density of states (states/eV per atom): 0.43
Calculated total energy (eV per cell): -27.27